# 1
This record from Alexandria describes CuBP2S at its PBEsol-relaxed geometry. The functional is SCAN.

## Properties
Raw formation energy = 1683 meV per atom
Calculated volume = 17.296 Å³ per atom
Excess energy over the best structure of this formula in the dataset = 0.655 eV/atom

Cell lengths 4.358, 4.358, 4.553 Å; angles 90.00, 90.00, 90.00 degrees
Space group P4/mmm (No. 123)
Symmetry-distinct sites (fractional):
Cu: 0.000 0.000 0.000 (multiplicity 1)
B: 0.500 0.500 0.500 (multiplicity 1)
P: 0.000 0.500 0.000 (multiplicity 2)
S: 0.000 0.000 0.500 (multiplicity 1)

---

# 2
This record from Alexandria describes KBaCr at its PBEsol-relaxed geometry. The functional is SCAN.

## Properties
Calculated volume = 40.868 Å³ per atom
DFT formation energy = 1.86 eV/f.u.

Cell lengths 5.8889, 5.8889, 4.0823 Å; angles 90.00, 90.00, 120.00 degrees
Space group P3m1 (No. 156)
Symmetry-distinct sites (fractional):
K: 0.0000 0.0000 0.0000 (multiplicity 1)
Ba: 0.3333 0.6667 0.4039 (multiplicity 1)
Cr: 0.6667 0.3333 0.7972 (multiplicity 1)

---

# 3
This record from Alexandria describes SbRuPb2 at its PBEsol-relaxed geometry. The functional is SCAN.

## Properties
Raw formation energy = 291 meV per atom
Calculated volume = 24.089 Å³ per atom

Cell lengths 3.659, 3.449, 15.274 Å; angles 90.00, 90.00, 90.00 degrees
Space group Amm2 (No. 38)
Symmetry-distinct sites (fractional):
Sb: 0.000 0.000 0.000 (multiplicity 2)
Ru: 0.500 0.000 0.880 (multiplicity 2)
Pb: 0.000 0.000 0.302 (multiplicity 2)
Pb: 0.500 0.000 0.655 (multiplicity 2)

---

# 4
This record from Alexandria describes BeIn at its PBEsol-relaxed geometry. The functional is SCAN.

## Properties
Calculated volume = 16.497 Å³ per atom
DFT formation energy = 1.11 eV/f.u.

Cell lengths 2.930, 2.930, 3.842 Å; angles 90.00, 90.00, 90.00 degrees
Space group P4/mmm (No. 123)
Symmetry-distinct sites (fractional):
Be: 0.000 0.000 0.000 (multiplicity 1)
In: 0.500 0.500 0.500 (multiplicity 1)

---

# 5
This record from Alexandria describes CeZnCuP2 at its PBEsol-relaxed geometry. The functional is SCAN.

## Properties
Calculated volume = 17.721 Å³ per atom
DFT formation energy = -4.08 eV/f.u.

Cell lengths 3.9421, 3.9421, 6.5838 Å; angles 90.00, 90.00, 120.00 degrees
Space group P3m1 (No. 156)
Symmetry-distinct sites (fractional):
Ce: 0.0000 0.0000 0.0000 (multiplicity 1)
Zn: 0.3333 0.6667 0.6193 (multiplicity 1)
Cu: 0.6667 0.3333 0.3504 (multiplicity 1)
P: 0.3333 0.6667 0.2553 (multiplicity 1)
P: 0.6667 0.3333 0.7276 (multiplicity 1)

---

# 6
This record from Alexandria describes B5Ir3W2 at its PBEsol-relaxed geometry. The functional is SCAN.

## Properties
Calculated volume = 10.545 Å³ per atom
DFT formation energy = -3.83 eV/f.u.

Cell lengths 2.873, 15.703, 4.675 Å; angles 90.00, 90.00, 90.00 degrees
Space group Imm2 (No. 44)
Symmetry-distinct sites (fractional):
B: 0.000 0.000 0.000 (multiplicity 2)
B: 0.000 0.279 0.455 (multiplicity 4)
B: 0.000 0.279 0.856 (multiplicity 4)
Ir: 0.000 0.405 0.655 (multiplicity 4)
Ir: 0.000 0.500 0.154 (multiplicity 2)
W: 0.000 0.151 0.656 (multiplicity 4)

---

# 7
This record from Alexandria describes BaTa2CuSi at its PBEsol-relaxed geometry. The functional is SCAN.

## Properties
Raw formation energy = 1301 meV per atom
Calculated volume = 26.220 Å³ per atom

Cell lengths 4.736, 4.736, 5.845 Å; angles 90.00, 90.00, 90.00 degrees
Space group P4/mmm (No. 123)
Symmetry-distinct sites (fractional):
Ba: 0.000 0.000 0.000 (multiplicity 1)
Ta: 0.000 0.500 0.500 (multiplicity 2)
Cu: 0.500 0.500 0.000 (multiplicity 1)
Si: 0.000 0.000 0.500 (multiplicity 1)

---

# 8
This record from Alexandria describes SrAl2Ag at its PBEsol-relaxed geometry. The functional is SCAN.

## Properties
Calculated volume = 21.165 Å³ per atom
DFT formation energy = -0.17 eV/f.u.

Cell lengths 6.970, 6.970, 6.970 Å; angles 90.00, 90.00, 90.00 degrees
Space group F-43m (No. 216)
Symmetry-distinct sites (fractional):
Sr: 0.000 0.000 0.000 (multiplicity 4)
Al: 0.000 0.000 0.500 (multiplicity 4)
Al: 0.250 0.250 0.250 (multiplicity 4)
Ag: 0.250 0.250 0.750 (multiplicity 4)

---

# 9
This record from Alexandria describes SrCdRu2 at its PBEsol-relaxed geometry. The functional is SCAN.

## Properties
Calculated volume = 19.699 Å³ per atom
DFT formation energy = 1.09 eV/f.u.

Cell lengths 2.895, 3.581, 7.600 Å; angles 90.00, 90.00, 90.00 degrees
Space group Pmm2 (No. 25)
Symmetry-distinct sites (fractional):
Sr: 0.000 0.000 0.000 (multiplicity 1)
Cd: 0.500 0.500 0.329 (multiplicity 1)
Ru: 0.000 0.000 0.567 (multiplicity 1)
Ru: 0.500 0.500 0.703 (multiplicity 1)

---

# 10
This record from Alexandria describes La3Mg at its PBEsol-relaxed geometry. The functional is SCAN.

## Properties
Calculated volume = 31.461 Å³ per atom
DFT formation energy = -0.18 eV/f.u.

Cell lengths 7.1887, 7.1887, 5.6239 Å; angles 90.00, 90.00, 120.00 degrees
Space group P6_3/mmc (No. 194)
Symmetry-distinct sites (fractional):
La: 0.1750 0.3500 0.2500 (multiplicity 6)
Mg: 0.3333 0.6667 0.7500 (multiplicity 2)

---

# 11
This record from Alexandria describes AlInC2 at its PBEsol-relaxed geometry. The functional is SCAN.

## Properties
Calculated volume = 11.764 Å³ per atom
DFT formation energy = 7.51 eV/f.u.

Cell lengths 5.731, 5.731, 5.731 Å; angles 90.00, 90.00, 90.00 degrees
Space group Fm-3m (No. 225)
Symmetry-distinct sites (fractional):
Al: 0.000 0.000 0.000 (multiplicity 4)
In: 0.000 0.000 0.500 (multiplicity 4)
C: 0.250 0.250 0.250 (multiplicity 8)

---

# 12
This record from Alexandria describes CaNi2Br at its PBEsol-relaxed geometry. The functional is SCAN.

## Properties
Raw formation energy = -215 meV per atom
Calculated volume = 18.309 Å³ per atom
Excess energy over the best structure of this formula in the dataset = 0.115 eV/atom

Cell lengths 3.307, 3.285, 6.932 Å; angles 90.00, 103.43, 90.00 degrees
Space group Pm (No. 6)
Symmetry-distinct sites (fractional):
Ca: 0.000 0.000 0.000 (multiplicity 1)
Ni: 0.356 0.500 0.704 (multiplicity 1)
Ni: 0.813 0.000 0.613 (multiplicity 1)
Br: 0.626 0.500 0.257 (multiplicity 1)

---

Repeat the second record exactly.
This record from Alexandria describes KBaCr at its PBEsol-relaxed geometry. The functional is SCAN.

## Properties
Calculated volume = 40.868 Å³ per atom
DFT formation energy = 1.86 eV/f.u.

Cell lengths 5.8889, 5.8889, 4.0823 Å; angles 90.00, 90.00, 120.00 degrees
Space group P3m1 (No. 156)
Symmetry-distinct sites (fractional):
K: 0.0000 0.0000 0.0000 (multiplicity 1)
Ba: 0.3333 0.6667 0.4039 (multiplicity 1)
Cr: 0.6667 0.3333 0.7972 (multiplicity 1)

---

Please write out number 2 again, unchanged.
This record from Alexandria describes KBaCr at its PBEsol-relaxed geometry. The functional is SCAN.

## Properties
Calculated volume = 40.868 Å³ per atom
DFT formation energy = 1.86 eV/f.u.

Cell lengths 5.8889, 5.8889, 4.0823 Å; angles 90.00, 90.00, 120.00 degrees
Space group P3m1 (No. 156)
Symmetry-distinct sites (fractional):
K: 0.0000 0.0000 0.0000 (multiplicity 1)
Ba: 0.3333 0.6667 0.4039 (multiplicity 1)
Cr: 0.6667 0.3333 0.7972 (multiplicity 1)